Material: Sn3Mo4W2N3
Method: DFT, PBE
State: optimized geometry

The structure in extended XYZ format:
```
24
Lattice="-5.017 -1.454 -2.226 -1.141 -5.392 -1.365 -2.667 0.257 13.185" Properties=species:S:1:pos:R:3 pbc="T T T"
N -3.842 -0.599 5.480
Mo -0.602 -1.021 0.710
W -2.528 -3.305 -0.503
W -6.297 -3.285 10.098
W -4.274 -4.113 3.658
Mo -2.505 -0.314 7.177
W -4.552 -2.476 5.936
Sn -6.691 -1.593 7.736
Mo -4.681 -5.713 -1.690
Mo -2.092 -1.735 4.851
N -0.571 -2.696 -0.683
N -2.955 -3.682 5.248
Sn -3.036 -1.917 2.035
Mo -6.733 -4.854 4.743
N -5.870 -2.908 4.346
Sn -3.758 -2.411 8.763
N -2.662 -4.940 -1.830
Sn -5.068 -4.179 0.831
Mo -8.223 -5.569 8.884
Mo -6.320 -6.276 2.418
Sn -5.789 -4.673 7.560
Sn -2.134 -4.996 1.859
Mo -4.145 -0.877 11.284
N -6.163 -1.649 11.424
```

Calculated density: 10.593 Mg/m³
Final energy: -8.75 eV per atom
SG: C2/c (15)